[1]
This record from the Alexandria database describes TcNi4Ru after structural relaxation. The functional is GGA-PBE.

```
6
Lattice="0.000 3.292 3.292 3.292 0.000 3.292 3.292 3.292 0.000" Properties=species:S:1:pos:R:3 pbc="T T T"
Tc 0.000 0.000 0.000
Ni 2.469 2.469 4.115
Ni 4.115 4.115 4.115
Ni 4.115 2.469 2.469
Ni 2.469 4.115 2.469
Ru 1.646 1.646 1.646
```

Summary:
Calculated volume (Å³/f.u.): 71
ΔH_f (0 K) (eV per atom): 0.10
Energy above the most stable polymorph in this dataset (meV per atom): 0
Total moment (μB/f.u.): 2.03
DFT total energy (eV/cell): -42.2

[2]
This record from the Alexandria database describes GdTmSc2 after structural relaxation. The functional is GGA-PBE.

```
4
Lattice="3.844 0.000 0.000 0.000 3.844 0.000 0.000 0.000 7.504" Properties=species:S:1:pos:R:3 pbc="T T T"
Gd 1.922 1.922 0.000
Tm 1.922 1.922 3.752
Sc 0.000 0.000 1.906
Sc 0.000 0.000 5.598
```

Summary:
Calculated volume (Å³/f.u.): 111
ΔH_f (0 K) (eV per atom): 0.08
Energy above the most stable polymorph in this dataset (meV per atom): 28
Total moment (μB/f.u.): 6.92
DFT total energy (eV/cell): -30.9

[3]
This record from the Alexandria database describes Ba2MgSiPd6 after structural relaxation. The functional is GGA-PBE.

```
10
Lattice="-5.434 3.567 1.654 -2.131 -5.168 4.147 -1.200 1.036 6.541" Properties=species:S:1:pos:R:3 pbc="T T T"
Ba -3.355 -2.857 6.413
Ba -5.410 2.291 5.928
Pd -5.569 -0.601 4.555
Pd -5.740 -1.004 7.482
Pd -3.025 0.439 4.859
Pd -3.196 0.036 7.787
Pd -4.711 1.460 2.914
Pd -4.055 -2.026 9.427
Mg 0.000 0.000 0.000
Si -3.783 -0.801 2.900
```

Summary:
Calculated volume (Å³/f.u.): 225
Total moment (μB/f.u.): 0.00
DFT total energy (eV/cell): -47.3
E_form (uncorrected) (eV per formula unit): -5.24

[4]
This record from the Alexandria database describes BaNaPt after structural relaxation. The functional is GGA-PBE.

```
6
Lattice="4.663 0.000 0.000 0.000 4.230 -0.981 0.000 0.133 10.183" Properties=species:S:1:pos:R:3 pbc="T T T"
Ba 1.166 3.993 7.604
Ba 3.498 0.371 1.598
Pt 1.166 2.308 0.340
Pt 3.498 2.056 8.862
Na 3.498 1.362 5.870
Na 1.166 3.002 3.332
```

Summary:
Calculated volume (Å³/f.u.): 101
ΔH_f (0 K) (eV per atom): -0.46
Energy above the most stable polymorph in this dataset (meV per atom): 0
Total moment (μB/f.u.): 0.00
DFT total energy (eV/cell): -21.3

[5]
This record from the Alexandria database describes Nd3ZrSe6 after structural relaxation. The functional is GGA-PBE.

```
20
Lattice="-7.997 1.558 1.957 -0.272 -8.370 0.292 3.401 1.383 7.532" Properties=species:S:1:pos:R:3 pbc="T T T"
Se -4.661 -1.572 6.022
Se -4.006 -2.439 2.655
Se -2.577 -7.540 1.412
Se -0.207 -3.857 3.759
Se 2.679 -1.213 7.539
Se -3.320 -5.300 4.620
Se -0.861 -2.989 7.126
Se -6.703 1.391 4.315
Se -2.290 2.111 8.369
Se -7.547 -4.216 2.243
Se 1.836 -6.819 5.467
Se -1.547 -0.128 5.161
Nd -2.742 -0.775 8.106
Nd -5.965 -4.014 4.705
Nd 1.098 -1.415 5.077
Nd -0.794 -5.808 6.282
Nd -2.126 -4.653 1.675
Nd -4.073 0.380 3.499
Zr -2.434 -2.714 4.891
Zr 0.000 0.000 0.000
```

Summary:
Calculated volume (Å³/f.u.): 284
Total moment (μB/f.u.): 0.00
DFT total energy (eV/cell): -121.4
E_form (uncorrected) (eV per formula unit): -16.95

[6]
This record from the Alexandria database describes Ni2MoPtPb after structural relaxation. The functional is GGA-PBE.

```
5
Lattice="4.457 0.000 0.000 0.000 5.307 0.000 0.000 0.000 4.457" Properties=species:S:1:pos:R:3 pbc="T T T"
Ni 0.000 0.000 2.229
Ni 2.229 0.000 0.000
Mo 0.000 0.000 0.000
Pb 0.000 2.654 0.000
Pt 2.229 2.654 2.229
```

Summary:
Calculated volume (Å³/f.u.): 105
ΔH_f (0 K) (eV per atom): 1.36
Total moment (μB/f.u.): 0.00
DFT total energy (eV/cell): -25.3

[7]
This record from the Alexandria database describes SeI2BrO after structural relaxation. The functional is GGA-PBE.

```
5
Lattice="5.876 0.000 0.000 0.000 5.876 0.000 0.000 0.000 3.961" Properties=species:S:1:pos:R:3 pbc="T T T"
I 2.938 0.000 0.000
I 0.000 2.938 0.000
Br 0.000 0.000 0.000
O 0.000 0.000 1.981
Se 2.938 2.938 1.981
```

Summary:
Calculated volume (Å³/f.u.): 137
Energy above the most stable polymorph in this dataset (meV per atom): 587
Total moment (μB/f.u.): 0.29
DFT total energy (eV/cell): -9.3
E_form (uncorrected) (eV per formula unit): 3.93

[8]
This record from the Alexandria database describes TaNbIr2 after structural relaxation. The functional is GGA-PBE.

```
4
Lattice="0.000 3.214 3.214 3.214 0.000 3.214 3.214 3.214 0.000" Properties=species:S:1:pos:R:3 pbc="T T T"
Nb 0.000 0.000 0.000
Ir 4.820 4.820 4.820
Ir 1.607 1.607 1.607
Ta 3.214 3.214 3.214
```

Summary:
Calculated volume (Å³/f.u.): 66
ΔH_f (0 K) (eV per atom): -0.24
Energy above the most stable polymorph in this dataset (meV per atom): 320
Total moment (μB/f.u.): 0.00
DFT total energy (eV/cell): -40.6

Copy entry 3 word for word.
This record from the Alexandria database describes Ba2MgSiPd6 after structural relaxation. The functional is GGA-PBE.

```
10
Lattice="-5.434 3.567 1.654 -2.131 -5.168 4.147 -1.200 1.036 6.541" Properties=species:S:1:pos:R:3 pbc="T T T"
Ba -3.355 -2.857 6.413
Ba -5.410 2.291 5.928
Pd -5.569 -0.601 4.555
Pd -5.740 -1.004 7.482
Pd -3.025 0.439 4.859
Pd -3.196 0.036 7.787
Pd -4.711 1.460 2.914
Pd -4.055 -2.026 9.427
Mg 0.000 0.000 0.000
Si -3.783 -0.801 2.900
```

Summary:
Calculated volume (Å³/f.u.): 225
Total moment (μB/f.u.): 0.00
DFT total energy (eV/cell): -47.3
E_form (uncorrected) (eV per formula unit): -5.24

Which of these has the highest total moment?
GdTmSc2

Which of these has the highest total moment?
GdTmSc2